[1]
DFT (PBE) results for Hf8AlPt2 after structural relaxation.

Summary:
Its magnetic moment is 0.001 Bohr magnetons per cell. The value obtained for the electronic total energy is -8.99 eV/atom. Its space-group type is C2/m, No. 12.

abc: 4.7861 7.6205 7.6205
angles: 117.53 99.36 99.36
Atoms (fractional coordinates):
Hf 0.9070 0.6888 0.9136
Hf 0.5000 0.2263 0.7737
Al 0.5000 0.0000 0.0000
Hf 0.0930 0.0864 0.3112
Hf 0.9070 0.9136 0.6888
Hf 0.5000 0.7737 0.2263
Pt 0.0000 0.6883 0.3117
Hf 0.0930 0.3112 0.0864
Pt 0.0000 0.3117 0.6883
Hf 0.6898 0.3873 0.3873
Hf 0.3102 0.6127 0.6127

***

[2]
DFT (PBE) results for HfAlPt2 after structural relaxation.

Summary:
Its magnetic moment is 0.000 Bohr magnetons per cell. The value obtained for the electronic total energy is -6.86 eV/atom. Its space-group type is P6_3/mmc, No. 194.

abc: 4.5138 4.5138 8.1848
angles: 90.00 90.00 120.00
Atoms (fractional coordinates):
Hf 0.3333 0.6667 0.2500
Al 0.0000 0.0000 0.2500
Pt 0.6667 0.3333 0.4170
Pt 0.3333 0.6667 0.5830
Hf 0.6667 0.3333 0.7500
Pt 0.3333 0.6667 0.9170
Al 0.0000 0.0000 0.7500
Pt 0.6667 0.3333 0.0830

***

[3]
DFT (PBE) results for Hf2Al2Pt after structural relaxation.

Summary:
The value obtained for the energy relative to the lowest polymorph listed for this composition is 0 meV/atom. Its magnetic moment is 0.000 Bohr magnetons per cell. Its space-group type is P4/mbm, No. 127.

abc: 6.4666 6.4666 4.2981
angles: 90.00 90.00 90.00
Atoms (fractional coordinates):
Al 0.1390 0.3610 0.0000
Pt 0.0000 0.0000 0.0000
Pt 0.5000 0.5000 0.0000
Hf 0.6685 0.8315 0.5000
Hf 0.8315 0.3315 0.5000
Al 0.6390 0.1390 0.0000
Hf 0.1685 0.6685 0.5000
Al 0.8610 0.6390 0.0000
Hf 0.3315 0.1685 0.5000
Al 0.3610 0.8610 0.0000

***

[4]
DFT (PBE) results for HfAlPt after structural relaxation.

Summary:
Its magnetic moment is 0.000 Bohr magnetons per cell. The value obtained for the electronic total energy is -7.32 eV/atom. Its space-group type is P2_1/m, No. 11.

abc: 5.0825 6.9545 6.9545
angles: 75.09 76.85 76.85
Atoms (fractional coordinates):
Al 0.6353 0.9049 0.1549
Hf 0.7788 0.8291 0.5791
Pt 0.1036 0.9537 0.2037
Al 0.6353 0.4049 0.6549
Pt 0.8964 0.0463 0.7963
Hf 0.2212 0.6709 0.9210
Hf 0.7788 0.3291 0.0790
Al 0.3647 0.5951 0.3451
Hf 0.2212 0.1709 0.4209
Pt 0.1036 0.4537 0.7037
Al 0.3647 0.0951 0.8451
Pt 0.8964 0.5463 0.2963

***

[5]
DFT (PBE) results for Hf4Al2Pt after structural relaxation.

Summary:
Its magnetic moment is 0.000 Bohr magnetons per cell. The value obtained for the electronic total energy is -7.30 eV/atom. Its space-group type is I4/mmm, No. 139.

abc: 4.9280 4.9280 7.9407
angles: 71.92 71.92 90.00
Atoms (fractional coordinates):
Hf 0.5000 0.0000 0.0000
Hf 0.8156 0.8156 0.3688
Hf 0.0000 0.5000 0.0000
Hf 0.1844 0.1844 0.6312
Pt 0.0000 0.0000 0.0000
Al 0.3779 0.3779 0.2442
Al 0.6221 0.6221 0.7558

***

[6]
DFT (PBE) results for HfAl2Pt6 after structural relaxation.

Summary:
Its magnetic moment is 0.000 Bohr magnetons per cell. The value obtained for the electronic total energy is -6.68 eV/atom. Its space-group type is Amm2, No. 38.

abc: 3.6888 6.9492 6.9492
angles: 122.49 90.00 90.00
Atoms (fractional coordinates):
Hf 0.5000 0.1154 0.1154
Al 0.0000 0.5889 0.3061
Al 0.0000 0.3061 0.5889
Pt 0.0000 0.9098 0.2469
Pt 0.5000 0.5070 0.5070
Pt 0.0000 0.8168 0.8168
Pt 0.0000 0.2469 0.9098
Pt 0.5000 0.9381 0.5708
Pt 0.5000 0.5708 0.9381

***

[7]
DFT (PBE) results for HfAl2Pt3 after structural relaxation.

Summary:
Its magnetic moment is 0.000 Bohr magnetons per cell. The value obtained for the electronic total energy is -6.95 eV/atom. Its space-group type is P-3m1, No. 164.

abc: 4.3749 4.3749 11.7359
angles: 90.00 90.00 120.00
Atoms (fractional coordinates):
Pt 0.6667 0.3333 0.5647
Pt 0.0000 0.0000 0.2117
Hf 0.6667 0.3333 0.3277
Al 0.0000 0.0000 0.0000
Al 0.6667 0.3333 0.8346
Al 0.0000 0.0000 0.5000
Pt 0.3333 0.6667 0.9275
Pt 0.3333 0.6667 0.4353
Pt 0.0000 0.0000 0.7883
Hf 0.3333 0.6667 0.6723
Al 0.3333 0.6667 0.1654
Pt 0.6667 0.3333 0.0725

***

[8]
DFT (PBE) results for HfAlPt2 after structural relaxation.

Summary:
Its magnetic moment is 0.000 Bohr magnetons per cell. The value obtained for the electronic total energy is -7.34 eV/atom. Its space-group type is P6_3/mmc, No. 194.

abc: 4.5838 4.5838 7.8581
angles: 90.00 90.00 120.00
Atoms (fractional coordinates):
Pt 0.3333 0.6667 0.5803
Hf 0.0000 0.0000 0.5000
Al 0.6667 0.3333 0.7500
Al 0.3333 0.6667 0.2500
Pt 0.3333 0.6667 0.9197
Pt 0.6667 0.3333 0.0803
Hf 0.0000 0.0000 0.0000
Pt 0.6667 0.3333 0.4197

***

[9]
DFT (PBE) results for HfAlPt after structural relaxation.

Summary:
Its magnetic moment is 0.000 Bohr magnetons per cell. The value obtained for the electronic total energy is -7.64 eV/atom. Its space-group type is P-62c, No. 190.

abc: 7.0597 7.0597 7.3330
angles: 90.00 90.00 120.00
Atoms (fractional coordinates):
Al 0.7427 0.7427 0.0000
Hf 0.6058 0.0214 0.2500
Al 0.2573 0.0000 0.0000
Pt 0.3333 0.6667 0.0289
Al 0.0000 0.2573 0.5000
Hf 0.3942 0.4156 0.7500
Pt 0.0000 0.0000 0.2500
Al 0.2573 0.0000 0.5000
Al 0.0000 0.2573 0.0000
Hf 0.9786 0.5844 0.2500
Hf 0.5844 0.9786 0.7500
Hf 0.4156 0.3942 0.2500
Hf 0.0214 0.6058 0.7500
Pt 0.6667 0.3333 0.9711
Al 0.7427 0.7427 0.5000
Pt 0.6667 0.3333 0.5289
Pt 0.3333 0.6667 0.4711
Pt 0.0000 0.0000 0.7500

***

[10]
DFT (PBE) results for Hf3AlPt after structural relaxation.

Summary:
The value obtained for the energy relative to the lowest polymorph listed for this composition is 0 meV/atom. Its magnetic moment is 0.000 Bohr magnetons per cell. Its space-group type is Pm-3m, No. 221.

abc: 5.0265 5.0265 5.0265
angles: 90.00 90.00 90.00
Atoms (fractional coordinates):
Hf 0.0000 0.0000 0.5000
Hf 0.5000 0.0000 0.0000
Al 0.5000 0.5000 0.5000
Pt 0.0000 0.0000 0.0000
Hf 0.0000 0.5000 0.0000

***

[11]
DFT (PBE) results for HfAlPt after structural relaxation.

Summary:
Its magnetic moment is 0.000 Bohr magnetons per cell. The value obtained for the electronic total energy is -7.63 eV/atom. Its space-group type is P-62m, No. 189.

abc: 3.5805 7.1468 7.1468
angles: 120.00 90.00 90.00
Atoms (fractional coordinates):
Pt 0.5000 0.6667 0.3333
Pt 0.0000 0.0000 0.0000
Al 0.5000 0.2596 0.0000
Al 0.5000 0.0000 0.2596
Hf 0.0000 0.3984 0.3984
Hf 0.0000 0.6016 0.0000
Al 0.5000 0.7404 0.7404
Pt 0.5000 0.3333 0.6667
Hf 0.0000 0.0000 0.6016

***

[12]
DFT (PBE) results for Hf4AlPt after structural relaxation.

Summary:
The value obtained for the energy relative to the lowest polymorph listed for this composition is 130 meV/atom. Its magnetic moment is 0.000 Bohr magnetons per cell. Its space-group type is C2/c, No. 15.

abc: 5.4735 7.9923 7.2237
angles: 113.83 99.26 113.20
Atoms (fractional coordinates):
Al 0.6423 0.3923 0.7845
Hf 0.2335 0.6094 0.8089
Hf 0.2395 0.2927 0.3917
Pt 0.7454 0.9954 0.9907
Al 0.3577 0.6077 0.2155
Hf 0.7665 0.3906 0.1911
Hf 0.6522 0.0990 0.3917
Hf 0.3478 0.9010 0.6083
Hf 0.9246 0.8004 0.1911
Hf 0.7605 0.7073 0.6083
Hf 0.0754 0.1996 0.8089
Pt 0.2546 0.0046 0.0093